1.
# PuThPt4 PBE-GGA optimized geometry
# Formation energy: -968 meV per atom
# D(E_F): 14.53 states/eV/f.u.
# Size of the total moment: 0.9941 μB per atom
# Final energy: -8.621 eV/atom
# V: 19.6 Å³ per atom
data_PuThPt4
_chemical_formula_sum 'Pu4 Th4 Pt16'
_symmetry_space_group_name_H-M 'F -4 3 m'
_symmetry_Int_Tables_number 216
_symmetry_space_group_name_Hall 'F -4 2 3'
_cell_length_a 7.771
_cell_length_b 7.771
_cell_length_c 7.771
_cell_angle_alpha 90.00
_cell_angle_beta 90.00
_cell_angle_gamma 90.00
loop_
_atom_site_label
_atom_site_type_symbol
_atom_site_fract_x
_atom_site_fract_y
_atom_site_fract_z
_atom_site_occupancy
Pu1 Pu 0.000 0.000 0.000 1
Th1 Th 0.250 0.250 0.750 1
Pt1 Pt 0.125 0.125 0.375 1

2.
# PrErIn2 PBE-GGA optimized geometry
# Formation energy: -302 meV per atom
# D(E_F): 2.50 states/eV/f.u.
# Polymorph energy (0 for the lowest one): 173 meV per atom
# Size of the total moment: 0.0000 μB per atom
# Final energy: -4.007 eV/atom
# V: 29.9 Å³ per atom
data_PrErIn2
_chemical_formula_sum 'Pr3 Er3 In6'
_symmetry_space_group_name_H-M 'R -3 m'
_symmetry_Int_Tables_number 166
_symmetry_space_group_name_Hall '-R 3 2"'
_cell_length_a 3.7445
_cell_length_b 3.7445
_cell_length_c 29.5585
_cell_angle_alpha 90.00
_cell_angle_beta 90.00
_cell_angle_gamma 120.00
loop_
_atom_site_label
_atom_site_type_symbol
_atom_site_fract_x
_atom_site_fract_y
_atom_site_fract_z
_atom_site_occupancy
Pr1 Pr 0.0000 0.0000 0.0000 1
Er1 Er 0.0000 0.0000 0.5000 1
In1 In 0.0000 0.0000 0.2467 1

3.
# SbP2Rh PBE-GGA optimized geometry
# Formation energy without anion corrections: 7.3 kJ/mol of atoms
# D(E_F): 2.06 states/eV/f.u.
# Size of the total moment: 0.0000 μB per atom
# Final energy: -5.498 eV/atom
# V: 17.5 Å³ per atom
data_SbP2Rh
_chemical_formula_sum 'Sb1 P2 Rh1'
_symmetry_space_group_name_H-M 'P 4/m m m'
_symmetry_Int_Tables_number 123
_symmetry_space_group_name_Hall '-P 4 2'
_cell_length_a 3.311
_cell_length_b 3.311
_cell_length_c 6.380
_cell_angle_alpha 90.00
_cell_angle_beta 90.00
_cell_angle_gamma 90.00
loop_
_atom_site_label
_atom_site_type_symbol
_atom_site_fract_x
_atom_site_fract_y
_atom_site_fract_z
_atom_site_occupancy
Sb1 Sb 0.000 0.000 0.000 1
P1 P 0.500 0.500 0.324 1
Rh1 Rh 0.000 0.000 0.500 1